Compound: LaAlIr2
Source: Alexandria via LeMat-Bulk
Functional: PBE
Structure: optimized geometry

Properties
Electronic total energy: -27.92 eV per cell
Spin magnetization: 0.0000 μB per atom
SG: Cm (8)
Density: 11.422 g/cm3
Energy of formation: -0.38 eV/atom

abc: 4.860 4.860 5.828
angles: 80.47 80.47 36.18
Fractional coordinates of all 4 atoms:
Ir 0.008 0.008 0.071
Ir 0.715 0.715 0.795
Al 0.287 0.287 0.104
La 0.491 0.491 0.530

Compound: Sc2SbP
Source: Alexandria via LeMat-Bulk
Functional: PBE
Structure: optimized geometry

Properties
Electronic total energy: -24.87 eV per cell
Spin magnetization: 0.0001 μB per atom
SG: P4/mmm (123)
Density: 4.846 g/cm3
Uncorrected formation energy: -15.4 kcal/mol of atoms

abc: 4.833 4.833 3.560
angles: 90.00 90.00 90.00
Fractional coordinates of all 4 atoms:
Sc 0.500 0.000 0.000
Sc 0.000 0.500 0.000
Sb 0.000 0.000 0.500
P 0.500 0.500 0.500

Compound: BaCuW
Source: Alexandria via LeMat-Bulk
Functional: PBE
Structure: optimized geometry

Properties
Electronic total energy: -16.02 eV per cell
Spin magnetization: 0.0004 μB per atom
Relative energy among the computed polymorphs: 32 meV/atom
SG: Imm2 (44)
Density: 9.227 g/cm3
Energy of formation: 0.98 eV/atom

abc: 6.454 6.454 6.454
angles: 153.06 145.25 44.51
Fractional coordinates of all 3 atoms:
Ba 0.997 0.997 0.000
Cu 0.287 0.287 0.000
W 0.716 0.716 0.000

Compound: Ce2PaB6
Source: Alexandria via LeMat-Bulk
Functional: PBE
Structure: optimized geometry

Properties
Electronic total energy: -62.40 eV per cell
Spin magnetization: 0.0001 μB per atom
SG: Immm (71)
Density: 8.080 g/cm3
Energy of formation: -0.11 eV/atom

abc: 3.186 6.301 6.301
angles: 86.16 75.36 75.36
Fractional coordinates of all 9 atoms:
Ce 0.350 0.150 0.150
Ce 0.650 0.850 0.850
Pa 0.500 0.500 0.500
B 0.194 0.556 0.055
B 0.806 0.444 0.945
B 0.806 0.945 0.444
B 0.000 0.222 0.778
B 0.000 0.778 0.222
B 0.194 0.055 0.556

Compound: Ta2CuIr
Source: Alexandria via LeMat-Bulk
Functional: PBE
Structure: optimized geometry

Properties
Electronic total energy: -37.67 eV per cell
Spin magnetization: 0.0000 μB per atom
SG: Cmmm (65)
Density: 16.349 g/cm3
Energy of formation: -0.25 eV/atom

abc: 4.838 4.838 2.848
angles: 89.96 89.96 109.75
Fractional coordinates of all 4 atoms:
Cu 0.500 0.000 0.500
Ir 0.000 0.500 0.500
Ta 0.000 0.000 0.000
Ta 0.500 0.500 0.000

Compound: FeCoBr2
Source: Alexandria via LeMat-Bulk
Functional: PBE
Structure: optimized geometry

Properties
Electronic total energy: -18.82 eV per cell
Spin magnetization: 1.2569 μB per atom
Relative energy among the computed polymorphs: 41 meV/atom
SG: C2/m (12)
Density: 5.189 g/cm3
Uncorrected formation energy: 0.5 kcal/mol of atoms

abc: 7.055 7.055 3.566
angles: 76.14 76.14 30.73
Each line ends with the local moment (μB).
Fractional coordinates of all 4 atoms:
Br 0.885 0.885 0.119  0.12
Br 0.615 0.615 0.381  0.12
Co 0.750 0.750 0.750  1.76
Fe 0.250 0.250 0.250  3.01

Compound: HoEr3In
Source: Alexandria via LeMat-Bulk
Functional: PBE
Structure: optimized geometry

Properties
Electronic total energy: -43.84 eV per cell
Spin magnetization: 0.0000 μB per atom
Relative energy among the computed polymorphs: 0 meV/atom
SG: C2/m (12)
Density: 8.944 g/cm3
Energy of formation: -0.18 eV/atom

abc: 5.148 6.812 8.667
angles: 89.76 107.28 90.00
Fractional coordinates of all 10 atoms:
Ho 0.609 0.505 0.218
Ho 0.391 0.495 0.782
Er 0.996 0.750 0.991
Er 0.004 0.250 0.009
Er 0.391 0.003 0.781
Er 0.609 0.997 0.219
Er 0.203 0.750 0.407
Er 0.797 0.250 0.593
In 0.803 0.751 0.606
In 0.197 0.249 0.394

Compound: K2CdCo
Source: Alexandria via LeMat-Bulk
Functional: PBE
Structure: optimized geometry

Properties
Electronic total energy: -6.98 eV per cell
Spin magnetization: 0.4458 μB per atom
SG: R-3m (166)
Density: 3.408 g/cm3
Energy of formation: 0.81 eV/atom

abc: 11.724 11.724 11.724
angles: 17.10 17.10 17.10
Each line ends with the local moment (μB).
Fractional coordinates of all 4 atoms:
Cd 0.250 0.250 0.250  0.00
Co 0.750 0.750 0.750  1.93
K 0.008 0.008 0.008  -0.01
K 0.492 0.492 0.492  -0.01

What is the formula in the eighth record? K2CdCo

Which of these has the lowest density? K2CdCo

spin magnetization of number 1 (LaAlIr2)? 0.0000 μB per atom

Which of these has the lowest density? K2CdCo